Material: Mg3CuPd4
Method: DFT, GGA-PBE
State: optimized geometry

Calculated values
- M_tot: 0.000 Bohr magnetons per cell
- Crystal system: trigonal
- Formation enthalpy at 0 K: -0.61 eV/atom

Lattice parameters (Å, degrees): 4.4276 4.4276 21.7716 90.00 90.00 120.00
Space group R-3m (No. 166, hexagonal axes)
Inequivalent atoms, fractional coordinates:
Mg: 0.0000 0.0000 0.0000 [3 per cell]
Mg: 0.0000 0.0000 0.2473 [6 per cell]
Cu: 0.0000 0.0000 0.5000 [3 per cell]
Pd: 0.0000 0.0000 0.1254 [6 per cell]
Pd: 0.0000 0.0000 0.3760 [6 per cell]